An optimized crystal structure of Er2Ag5. Source: the Alexandria database, functional PBE-GGA.

Properties
Symmetry   No. 12
ΔH_f (0 K)   -246.6 meV/atom

a b c (Å): 5.301 5.301 7.378
angles (deg): 94.74 94.74 44.45
Element x y z (fractional)
Er (0.081, 0.081, 0.224)
Er (0.919, 0.919, 0.776)
Ag (0.203, 0.203, 0.634)
Ag (0.359, 0.359, 0.070)
Ag (0.500, 0.500, 0.500)
Ag (0.641, 0.641, 0.930)
Ag (0.797, 0.797, 0.366)